No. 1
Computed, not measured: an optimized crystal structure of Ba2NCl at the PBE level of DFT.

Formation energy (no corrections) ... -5.18 eV per formula unit
Space-group type ... No. 160
E_tot ... -4.80 eV/atom

Cell: 4.112 4.112 8.113 Å, 75.32 75.32 60.00°
Fractional positions:
Ba: 0.064 0.064 0.807
Ba: 0.269 0.269 0.193
Cl: 0.500 0.500 0.501
N: 0.667 0.667 0.999


No. 2
Computed, not measured: an optimized crystal structure of ZrNb3Al at the PBE level of DFT.

Offset from the most stable computed form ... 0 meV per atom
Space-group type ... No. 221
E_form ... 0.914 eV per atom
E_tot ... -7.59 eV/atom
Density of states at the Fermi level ... 1.278 states/eV per atom

Cell: 4.767 4.767 4.767 Å, 90.00 90.00 90.00°
Fractional positions:
Al: 0.000 0.000 0.000
Zr: 0.500 0.500 0.500
Nb: 0.000 0.500 0.000
Nb: 0.500 0.000 0.000
Nb: 0.000 0.000 0.500


No. 3
Computed, not measured: an optimized crystal structure of AlP2Cl at the PBE level of DFT.

Formation energy (no corrections) ... 0.03 eV per formula unit
Offset from the most stable computed form ... 308 meV per atom
Space-group type ... No. 38
E_tot ... -4.09 eV/atom
Density of states at the Fermi level ... 0.384 states/eV per atom

Cell: 4.067 4.452 4.448 Å, 68.44 90.00 90.00°
Fractional positions:
P: 0.000 0.082 0.082
P: 0.500 0.228 0.228
Al: 0.000 0.470 0.469
Cl: 0.500 0.720 0.720


No. 4
Computed, not measured: an optimized crystal structure of YHf2GaTe at the PBE level of DFT.

Formation energy (no corrections) ... 3.16 eV per formula unit
Space-group type ... No. 123
E_tot ... -5.88 eV/atom
Density of states at the Fermi level ... 1.135 states/eV per atom

Cell: 5.228 5.576 5.228 Å, 90.00 90.00 90.00°
Fractional positions:
Hf: 0.500 0.000 0.000
Hf: 0.000 0.000 0.500
Te: 0.000 0.000 0.000
Y: 0.000 0.500 0.000
Ga: 0.500 0.500 0.500


No. 5
Computed, not measured: an optimized crystal structure of Li2HfTl2Se4 at the PBE level of DFT.

Formation energy (no corrections) ... -8.88 eV per formula unit
Space-group type ... No. 12
E_tot ... -4.59 eV/atom

Cell: 4.022 7.781 7.821 Å, 109.76 104.90 90.00°
Fractional positions:
Tl: 0.141 0.561 0.281
Tl: 0.859 0.439 0.719
Se: 0.190 0.175 0.380
Se: 0.810 0.825 0.620
Se: 0.512 0.771 0.024
Se: 0.488 0.229 0.976
Li: 0.320 0.021 0.639
Li: 0.680 0.979 0.361
Hf: 0.000 0.000 0.000


No. 6
Computed, not measured: an optimized crystal structure of Zn2CrTc at the PBE level of DFT.

Offset from the most stable computed form ... 247 meV per atom
Space-group type ... No. 123
E_form ... 0.286 eV per atom
E_tot ... -5.35 eV/atom
Density of states at the Fermi level ... 0.788 states/eV per atom

Cell: 4.427 4.427 2.948 Å, 90.00 90.00 90.00°
Fractional positions:
Zn: 0.000 0.000 0.000
Zn: 0.500 0.500 0.000
Tc: 0.000 0.500 0.500
Cr: 0.500 0.000 0.500


No. 7
Computed, not measured: an optimized crystal structure of La4Ho2N at the PBE level of DFT.

Formation energy (no corrections) ... -1.31 eV per formula unit
Space-group type ... No. 139
E_tot ... -5.50 eV/atom
Density of states at the Fermi level ... 1.673 states/eV per atom

Cell: 5.132 5.132 9.482 Å, 74.30 74.30 90.00°
Fractional positions:
La: 0.862 0.862 0.275
La: 0.000 0.500 0.000
La: 0.500 0.000 0.000
La: 0.138 0.138 0.725
Ho: 0.341 0.341 0.317
Ho: 0.659 0.659 0.683
N: 0.000 0.000 0.000


No. 8
Computed, not measured: an optimized crystal structure of MnZnSi at the PBE level of DFT.

Formation energy (no corrections) ... 0.23 eV per formula unit
Space-group type ... No. 156
E_tot ... -5.21 eV/atom
Density of states at the Fermi level ... 0.563 states/eV per atom

Cell: 2.711 2.711 6.247 Å, 90.00 90.00 120.00°
Fractional positions:
Zn: 0.333 0.667 0.674
Mn: 0.000 0.000 0.013
Si: 0.667 0.333 0.313


No. 9
Computed, not measured: an optimized crystal structure of SrLa3Sm2Te6 at the PBE level of DFT.

Formation energy (no corrections) ... -18.40 eV per formula unit
Space-group type ... No. 12
E_tot ... -5.26 eV/atom
Density of states at the Fermi level ... 0.545 states/eV per atom

Cell: 4.543 9.142 10.177 Å, 102.97 102.90 90.00°
Fractional positions:
Te: 0.004 0.253 0.009
Te: 0.996 0.747 0.991
Te: 0.667 0.578 0.334
Te: 0.332 0.910 0.664
Te: 0.333 0.422 0.666
Te: 0.668 0.090 0.336
Sm: 0.830 0.659 0.659
Sm: 0.170 0.341 0.341
Sr: 0.500 0.000 0.000
La: 0.500 0.500 0.000
La: 0.835 0.172 0.670
La: 0.165 0.828 0.330


No. 10
Computed, not measured: an optimized crystal structure of KZrCo2 at the PBE level of DFT.

Offset from the most stable computed form ... 360 meV per atom
Space-group type ... No. 44
E_form ... 0.762 eV per atom
E_tot ... -5.20 eV/atom
Density of states at the Fermi level ... 1.221 states/eV per atom

Cell: 6.050 6.050 6.050 Å, 152.34 131.22 56.99°
Fractional positions:
Zr: 0.222 0.722 0.500
K: 0.522 0.522 0.000
Co: 0.795 0.295 0.500
Co: 0.960 0.960 0.000


No. 11
Computed, not measured: an optimized crystal structure of Sr2UMnSe5 at the PBE level of DFT.

Formation energy (no corrections) ... -12.52 eV per formula unit
Space-group type ... No. 36
E_tot ... -5.97 eV/atom
Density of states at the Fermi level ... 0.440 states/eV per atom

Cell: 4.230 9.317 13.015 Å, 90.00 90.00 103.12°
Fractional positions:
Se: 0.710 0.421 0.170
Se: 0.498 0.995 0.769
Se: 0.051 0.102 0.042
Se: 0.949 0.898 0.542
Se: 0.691 0.383 0.871
Se: 0.290 0.579 0.670
Se: 0.309 0.617 0.371
Se: 0.640 0.280 0.506
Se: 0.502 0.005 0.269
Se: 0.360 0.720 0.006
U: 0.206 0.412 0.023
U: 0.794 0.588 0.523
Sr: 0.878 0.756 0.822
Sr: 0.109 0.218 0.684
Sr: 0.891 0.782 0.184
Sr: 0.122 0.244 0.322
Mn: 0.442 0.885 0.436
Mn: 0.558 0.115 0.936


No. 12
Computed, not measured: an optimized crystal structure of PrPuTh2S4 at the PBE level of DFT.

Formation energy (no corrections) ... -14.94 eV per formula unit
Space-group type ... No. 10
E_tot ... -8.18 eV/atom
Density of states at the Fermi level ... 1.147 states/eV per atom

Cell: 4.021 6.964 7.033 Å, 109.30 90.00 90.00°
Fractional positions:
S: 0.000 0.742 0.244
S: 0.500 0.745 0.751
S: 0.000 0.258 0.756
S: 0.500 0.255 0.249
Pu: 0.500 0.500 0.000
Th: 0.500 0.000 0.500
Th: 0.000 0.500 0.500
Pr: 0.000 0.000 0.000